DFT (PBE-GGA) results for BePdSe2N after structural relaxation.

The structure in POSCAR format:
```
BePdSe2N
1.0
5.131 0.000 0.000
0.000 5.131 0.000
0.000 0.000 3.664
Be Pd Se N
1 1 2 1
direct
0.000 0.000 0.000
0.500 0.500 0.500
0.000 0.500 0.500
0.500 0.000 0.500
0.500 0.500 0.000
```

total energy	-3.791	eV/atom
space group	P4/mmm (123)

=====

DFT (PBE-GGA) results for BePdSe2N after structural relaxation.

The structure in POSCAR format:
```
BePdSe2N
1.0
4.973 0.000 0.000
0.000 4.973 0.000
0.000 0.000 3.025
Be Pd Se N
1 1 2 1
direct
0.000 0.000 0.000
0.500 0.500 0.500
0.000 0.500 0.000
0.500 0.000 0.000
0.000 0.000 0.500
```

total energy	-4.446	eV/atom
space group	P4/mmm (123)

=====

DFT (PBE-GGA) results for BePdSeN2 after structural relaxation.

The structure in POSCAR format:
```
BePdSeN2
1.0
3.692 0.000 0.000
0.000 3.692 0.000
0.000 0.000 7.966
Be Pd Se N
1 1 1 2
direct
0.000 0.000 0.000
0.500 0.500 0.500
0.500 0.500 0.000
0.000 0.500 0.500
0.500 0.000 0.500
```

total energy	-4.296	eV/atom
space group	P4/mmm (123)

=====

DFT (PBE-GGA) results for BeSiPd2N after structural relaxation.

The structure in POSCAR format:
```
BeSiPd2N
1.0
4.361 0.000 0.000
0.000 4.361 0.000
0.000 0.000 3.441
Be Si Pd N
1 1 2 1
direct
0.000 0.000 0.000
0.500 0.500 0.000
0.000 0.500 0.500
0.500 0.000 0.500
0.500 0.500 0.500
```

total energy	-5.274	eV/atom
space group	P4/mmm (123)

=====

- Which formula does entry 1 have?
  BePdSe2N

=====

- Look up the total energy of the first one.
  -3.791 eV/atom

=====

- Look up the total energy of the first one.
  -3.791 eV/atom

=====

- Which formula does entry 1 have?
  BePdSe2N